A.
{"formula": "Pm7Dy3Y2", "functional": "PBE", "state": "optimized geometry", "cell": [[-3.104, 0.832, 1.541], [2.654, -0.866, 5.815], [6.601, 16.235, 4.536]], "species": ["Pm", "Y", "Pm", "Pm", "Dy", "Pm", "Pm", "Dy", "Pm", "Y", "Dy", "Pm"], "frac_coords": [[0.000, 0.558, 0.166], [0.500, 0.611, 0.330], [0.500, 0.762, 0.496], [0.500, 0.238, 0.504], [0.000, 0.112, 0.340], [0.000, 0.000, 0.000], [0.500, 0.945, 0.830], [0.000, 0.888, 0.660], [0.500, 0.055, 0.170], [0.500, 0.389, 0.670], [0.500, 0.500, 0.000], [0.000, 0.442, 0.834]], "n_ef_per_ev_cell": 18.206, "crystal_system": "monoclinic", "rho_g_cm3": 6.94}

---

B.
{"formula": "Pm7Dy3Y2", "functional": "PBE", "state": "optimized geometry", "cell": [[-0.340, 3.231, -1.618], [-3.716, 1.674, 4.123], [16.458, 5.916, 8.355]], "species": ["Pm", "Y", "Dy", "Pm", "Pm", "Pm", "Y", "Dy", "Pm", "Pm", "Dy", "Pm"], "frac_coords": [[0.000, 0.768, 0.536], [0.000, 0.149, 0.297], [0.500, 0.500, 0.000], [0.000, 0.232, 0.464], [0.000, 0.408, 0.815], [0.500, 0.072, 0.144], [0.000, 0.851, 0.703], [0.500, 0.315, 0.630], [0.000, 0.000, 0.000], [0.000, 0.592, 0.185], [0.500, 0.685, 0.370], [0.500, 0.928, 0.856]], "n_ef_per_ev_cell": 19.410, "crystal_system": "orthorhombic", "rho_g_cm3": 6.92}

---

Which of them is most stable, and which least? Most stable: A; least stable: B.

---

A.
{"formula": "Pm2Dy6Y", "functional": "PBE", "state": "optimized geometry", "cell": [[1.292, 4.868, 3.590], [-0.616, -1.152, 11.721], [10.823, 4.675, -0.297]], "species": ["Dy", "Dy", "Dy", "Dy", "Dy", "Dy", "Dy", "Dy", "Pm", "Pm", "Dy", "Dy", "Y", "Pm", "Dy", "Pm", "Y", "Dy"], "frac_coords": [[0.683, 0.335, 0.485], [0.318, 0.014, 0.166], [0.470, 0.405, 0.905], [0.317, 0.665, 0.515], [0.030, 0.095, 0.595], [0.183, 0.485, 0.335], [0.682, 0.986, 0.834], [0.182, 0.834, 0.986], [0.500, 0.149, 0.351], [0.000, 0.351, 0.149], [0.818, 0.166, 0.014], [0.970, 0.905, 0.405], [0.250, 0.250, 0.750], [0.500, 0.851, 0.649], [0.530, 0.595, 0.095], [0.000, 0.649, 0.851], [0.750, 0.750, 0.250], [0.817, 0.515, 0.665]], "n_ef_per_ev_cell": 26.009, "crystal_system": "monoclinic", "rho_g_cm3": 7.74}

---

B.
{"formula": "Pm2Dy6Y", "functional": "PBE", "state": "optimized geometry", "cell": [[-1.727, 5.002, 8.692], [1.727, -5.002, 8.692], [1.727, 5.002, -8.692]], "species": ["Dy", "Dy", "Y", "Dy", "Dy", "Dy", "Dy", "Pm", "Pm"], "frac_coords": [[0.024, 0.834, 0.189], [0.355, 0.166, 0.189], [0.000, 0.000, 0.000], [0.689, 0.500, 0.189], [0.976, 0.166, 0.811], [0.311, 0.500, 0.811], [0.645, 0.834, 0.811], [0.332, 0.332, 0.000], [0.668, 0.668, 0.000]], "n_ef_per_ev_cell": 19.952, "crystal_system": "orthorhombic", "rho_g_cm3": 7.49}

---

Which of them is most stable, and which least? Most stable: A; least stable: B.

---

A.
{"formula": "Pm2Dy2Y5", "functional": "PBE", "state": "optimized geometry", "cell": [[11.766, 0.000, 0.000], [0.000, 6.821, 0.000], [-5.883, -3.411, 7.498]], "species": ["Dy", "Dy", "Dy", "Pm", "Y", "Dy", "Y", "Pm", "Y", "Y", "Y", "Pm", "Y", "Y", "Y", "Y", "Y", "Pm"], "frac_coords": [[0.000, 0.007, 0.000], [0.263, 0.365, 0.500], [0.500, 0.507, 0.000], [0.876, 0.432, 0.744], [0.998, 0.657, 0.500], [0.737, 0.865, 0.500], [0.809, 0.260, 0.105], [0.632, 0.187, 0.256], [0.620, 0.744, 0.713], [0.380, 0.030, 0.287], [0.407, 0.530, 0.287], [0.124, 0.687, 0.256], [0.191, 0.155, 0.895], [0.593, 0.244, 0.713], [0.796, 0.760, 0.105], [0.204, 0.655, 0.895], [0.002, 0.157, 0.500], [0.368, 0.932, 0.744]], "n_ef_per_ev_cell": 32.071, "crystal_system": "orthorhombic", "rho_g_cm3": 5.85}

---

B.
{"formula": "Pm2Dy2Y5", "functional": "PBE", "state": "optimized geometry", "cell": [[6.116, 0.986, 0.081], [-1.964, 5.559, 1.946], [0.480, 2.786, 9.048]], "species": ["Y", "Dy", "Y", "Y", "Y", "Pm", "Dy", "Pm", "Y"], "frac_coords": [[0.000, 0.000, 0.000], [0.334, 0.668, 0.666], [0.777, 0.555, 0.889], [0.113, 0.222, 0.555], [0.223, 0.445, 0.111], [0.445, 0.888, 0.223], [0.666, 0.332, 0.334], [0.555, 0.112, 0.777], [0.887, 0.778, 0.445]], "n_ef_per_ev_cell": 13.157, "crystal_system": "triclinic", "rho_g_cm3": 6.02}

---

Which of them is most stable, and which least? Most stable: B; least stable: A.

---

A.
{"formula": "Pm5Dy2Y2", "functional": "PBE", "state": "optimized geometry", "cell": [[-0.734, 3.378, -1.023], [-9.526, -8.503, -2.231], [-8.068, -5.772, 5.764]], "species": ["Pm", "Pm", "Y", "Dy", "Pm", "Pm", "Dy", "Y", "Pm"], "frac_coords": [[0.000, 0.000, 0.000], [0.357, 0.356, 0.216], [0.828, 0.313, 0.905], [0.531, 0.028, 0.325], [0.293, 0.295, 0.568], [0.643, 0.644, 0.784], [0.469, 0.972, 0.675], [0.172, 0.687, 0.095], [0.707, 0.705, 0.432]], "n_ef_per_ev_cell": 13.554, "crystal_system": "triclinic", "rho_g_cm3": 6.67}

---

B.
{"formula": "Pm5Dy2Y2", "functional": "PBE", "state": "optimized geometry", "cell": [[11.941, 0.000, 0.000], [0.000, 6.767, 0.000], [-5.971, -3.383, 7.495]], "species": ["Dy", "Pm", "Pm", "Y", "Pm", "Pm", "Pm", "Dy", "Y", "Pm", "Pm", "Y", "Dy", "Pm", "Dy", "Y", "Pm", "Pm"], "frac_coords": [[0.000, 0.058, 0.000], [0.184, 0.664, 0.901], [0.629, 0.743, 0.711], [0.618, 0.173, 0.257], [0.783, 0.263, 0.099], [0.371, 0.032, 0.289], [0.017, 0.650, 0.500], [0.751, 0.836, 0.500], [0.861, 0.417, 0.743], [0.418, 0.532, 0.289], [0.983, 0.150, 0.500], [0.139, 0.673, 0.257], [0.249, 0.336, 0.500], [0.217, 0.164, 0.901], [0.500, 0.558, 0.000], [0.382, 0.917, 0.743], [0.816, 0.763, 0.099], [0.582, 0.243, 0.711]], "n_ef_per_ev_cell": 25.168, "crystal_system": "orthorhombic", "rho_g_cm3": 6.73}

---

Which of them is most stable, and which least? Most stable: A; least stable: B.